# 1
! CsHgPSe3, relaxed, DFT PBE; values from VASP
&SYSTEM
  ibrav = 0, nat = 12, ntyp = 4
/
ATOMIC_SPECIES
Cs 132.91 Cs.upf
Hg 200.59 Hg.upf
P 30.97 P.upf
Se 78.96 Se.upf
CELL_PARAMETERS angstrom
6.3500 -4.1961 0.0000
6.3500 4.1961 0.0000
-3.7451 0.0000 7.7190
ATOMIC_POSITIONS angstrom
Cs 1.6557 0.0000 1.7162
Cs 7.2993 0.0000 6.0028
Hg 4.4775 2.8094 3.8595
Hg 4.4775 -2.8094 3.8595
P 2.8093 0.0000 6.5666
P 6.1456 0.0000 1.1524
Se 4.8913 1.8479 1.3572
Se 0.9161 0.0000 5.4823
Se 4.0636 1.8479 6.3618
Se 4.8913 -1.8479 1.3572
Se 8.0389 0.0000 2.2367
Se 4.0636 -1.8479 6.3618
! Total magnetic moment: 0.000 μB/atom
! Energy relative to the elements, uncorrected: -10.808 kcal/mol of atoms

---

# 2
! Pa2BC2, relaxed, DFT PBE; values from VASP
&SYSTEM
  ibrav = 0, nat = 10, ntyp = 3
/
ATOMIC_SPECIES
Pa 231.04 Pa.upf
B 10.81 B.upf
C 12.01 C.upf
CELL_PARAMETERS angstrom
1.5516 -6.7602 0.0000
1.5516 6.7602 0.0000
0.0000 0.0000 6.4164
ATOMIC_POSITIONS angstrom
Pa 1.5516 6.1538 3.2082
Pa 1.5516 3.7546 1.3099
Pa 1.5516 -3.7546 4.5181
Pa 1.5516 -6.1538 0.0000
B 1.5516 1.6082 2.8784
B 1.5516 -1.6082 6.0866
C 1.5516 4.8915 5.4458
C 1.5516 0.9902 4.3692
C 1.5516 -0.9902 1.1610
C 1.5516 -4.8915 2.2376
! Total magnetic moment: 0.000 μB/atom
! Formation enthalpy at 0 K: -0.2624 eV per atom

---

# 3
! Sr3Li3Ni4N4, relaxed, DFT PBE; values from VASP
&SYSTEM
  ibrav = 0, nat = 14, ntyp = 4
/
ATOMIC_SPECIES
Sr 87.62 Sr.upf
Li 6.94 Li.upf
Ni 58.69 Ni.upf
N 14.01 N.upf
CELL_PARAMETERS angstrom
-2.0167 3.5256 8.3787
2.0167 -3.5256 8.3787
2.0167 3.5256 -8.3787
ATOMIC_POSITIONS angstrom
Sr 0.0000 0.0000 0.0000
Sr 0.0000 0.0000 3.6579
Sr 0.0000 0.0000 13.0995
Li 2.0167 0.0000 6.4377
Li 0.0000 0.0000 8.3787
Li 0.0000 3.5256 1.9410
Ni 2.0167 1.7627 -2.0085
Ni 2.0167 1.7627 2.0085
Ni 0.0000 1.7629 6.3702
Ni 0.0000 1.7629 10.3872
N 2.0167 0.0000 1.9521
N 0.0000 0.0000 6.3577
N 0.0000 0.0000 10.3997
N 0.0000 3.5256 6.4266
! Total magnetic moment: 0.000 μB/atom
! Energy relative to the elements, uncorrected: -11.720 kcal/mol of atoms

---

# 4
! CsMn2GeCl8, relaxed, DFT PBE; values from VASP
&SYSTEM
  ibrav = 0, nat = 12, ntyp = 4
/
ATOMIC_SPECIES
Cs 132.91 Cs.upf
Mn 54.94 Mn.upf
Ge 72.64 Ge.upf
Cl 35.45 Cl.upf
CELL_PARAMETERS angstrom
6.5992 0.0000 0.0000
-3.2996 5.7151 0.0000
0.0000 0.0000 9.8483
ATOMIC_POSITIONS angstrom
Cs 0.0000 0.0000 0.0000
Mn 0.0000 3.8101 7.0979
Mn 3.2996 1.9050 2.7504
Ge 0.0000 0.0000 4.9241
Cl -0.9978 1.8032 6.4531
Cl -1.2391 5.6776 6.4531
Cl 1.0627 1.7657 3.3952
Cl 0.0000 3.8101 9.3535
Cl 3.2996 1.9050 0.4947
Cl 2.2369 3.9494 6.4531
Cl 4.5387 0.0375 3.3952
Cl 4.2974 3.9119 3.3952
! Total magnetic moment: 0.750 μB/atom
! Energy relative to the elements, uncorrected: -25.853 kcal/mol of atoms

---

# 5
! CaNd2Hg2, relaxed, DFT PBE; values from VASP
&SYSTEM
  ibrav = 0, nat = 10, ntyp = 3
/
ATOMIC_SPECIES
Ca 40.08 Ca.upf
Nd 144.24 Nd.upf
Hg 200.59 Hg.upf
CELL_PARAMETERS angstrom
1.9026 -14.2691 0.0000
1.9026 14.2691 0.0000
0.0000 0.0000 5.4709
ATOMIC_POSITIONS angstrom
Ca 1.9026 10.1827 4.1032
Ca 1.9026 -10.1827 1.3677
Nd 1.9026 12.8988 1.3677
Nd 1.9026 7.6124 1.3677
Nd 1.9026 -7.6124 4.1032
Nd 1.9026 -12.8988 4.1032
Hg 1.9026 4.0783 4.1032
Hg 1.9026 1.3453 1.3677
Hg 1.9026 -1.3453 4.1032
Hg 1.9026 -4.0783 1.3677
! Total magnetic moment: 0.000 μB/atom
! Formation enthalpy at 0 K: -0.3977 eV per atom

---

# 6
! Rb2NF2, relaxed, DFT PBE; values from VASP
&SYSTEM
  ibrav = 0, nat = 5, ntyp = 3
/
ATOMIC_SPECIES
Rb 85.47 Rb.upf
N 14.01 N.upf
F 19.00 F.upf
CELL_PARAMETERS angstrom
-2.6105 2.6105 5.6575
2.6105 -2.6105 5.6575
2.6105 2.6105 -5.6575
ATOMIC_POSITIONS angstrom
Rb 0.0000 0.0000 2.0946
Rb 0.0000 0.0000 9.2203
N 0.0000 0.0000 5.6575
F 2.6105 0.0000 2.8287
F 0.0000 2.6105 2.8287
! Total magnetic moment: 0.600 μB/atom
! Polymorph energy (0 for the lowest one): 14 meV/atom
! Energy relative to the elements, uncorrected: -22.791 kcal/mol of atoms

---

# 7
! Ho4MgAg2, relaxed, DFT PBE; values from VASP
&SYSTEM
  ibrav = 0, nat = 7, ntyp = 3
/
ATOMIC_SPECIES
Ho 164.93 Ho.upf
Mg 24.30 Mg.upf
Ag 107.87 Ag.upf
CELL_PARAMETERS angstrom
2.5477 1.4709 8.8273
-2.5477 1.4709 8.8273
0.0000 -2.9419 8.8273
ATOMIC_POSITIONS angstrom
Ho 0.0000 0.0000 3.2005
Ho 0.0000 0.0000 7.6807
Ho 0.0000 0.0000 18.8010
Ho 0.0000 0.0000 23.2813
Mg 0.0000 0.0000 13.2409
Ag 0.0000 0.0000 10.6207
Ag 0.0000 0.0000 15.8610
! Total magnetic moment: 0.000 μB/atom
! Polymorph energy (0 for the lowest one): 134 meV/atom
! Formation enthalpy at 0 K: 0.0422 eV per atom

---

# 8
! TiH2Au, relaxed, DFT PBE; values from VASP
&SYSTEM
  ibrav = 0, nat = 4, ntyp = 3
/
ATOMIC_SPECIES
Ti 47.87 Ti.upf
H 1.01 H.upf
Au 196.97 Au.upf
CELL_PARAMETERS angstrom
0.0000 2.7358 2.7358
2.7358 0.0000 2.7358
2.7358 2.7358 0.0000
ATOMIC_POSITIONS angstrom
Ti 0.0000 0.0000 0.0000
H 1.3679 1.3679 1.3679
H 4.1036 4.1036 4.1036
Au 2.7358 2.7358 2.7358
! Total magnetic moment: 0.000 μB/atom
! Polymorph energy (0 for the lowest one): 375 meV/atom

---

# 9
! LaSeN2F, relaxed, DFT PBE; values from VASP
&SYSTEM
  ibrav = 0, nat = 5, ntyp = 4
/
ATOMIC_SPECIES
La 138.91 La.upf
Se 78.96 Se.upf
N 14.01 N.upf
F 19.00 F.upf
CELL_PARAMETERS angstrom
4.3884 0.0000 0.0000
0.0000 4.3884 0.0000
0.0000 0.0000 3.9815
ATOMIC_POSITIONS angstrom
La 0.0000 0.0000 0.0000
Se 2.1942 2.1942 0.0000
N 0.0000 2.1942 1.9907
N 2.1942 0.0000 1.9907
F 2.1942 2.1942 1.9907
! Total magnetic moment: 0.226 μB/atom
! Polymorph energy (0 for the lowest one): 1004 meV/atom
! Energy relative to the elements, uncorrected: 13.619 kcal/mol of atoms

---

# 10
! Zn2ClO, relaxed, DFT PBE; values from VASP
&SYSTEM
  ibrav = 0, nat = 8, ntyp = 3
/
ATOMIC_SPECIES
Zn 65.41 Zn.upf
Cl 35.45 Cl.upf
O 16.00 O.upf
CELL_PARAMETERS angstrom
5.2207 0.0000 0.0000
2.3582 5.3473 0.0000
2.3865 1.9541 5.0384
ATOMIC_POSITIONS angstrom
Zn 0.0000 0.0000 0.0000
Zn 4.1826 6.3674 2.7249
Zn 4.2428 1.6819 3.2800
Zn 5.4299 3.0928 0.6578
Cl 2.9103 3.1209 0.8763
Cl 5.3713 4.2283 2.7766
O 8.1556 6.4262 4.3880
O 5.4805 1.2908 1.4809
! Total magnetic moment: 0.000 μB/atom
! Polymorph energy (0 for the lowest one): 75 meV/atom
! Energy relative to the elements, uncorrected: -22.041 kcal/mol of atoms

---

# 11
! TlCrP, relaxed, DFT PBE; values from VASP
&SYSTEM
  ibrav = 0, nat = 6, ntyp = 3
/
ATOMIC_SPECIES
Tl 204.38 Tl.upf
Cr 52.00 Cr.upf
P 30.97 P.upf
CELL_PARAMETERS angstrom
4.0101 0.0000 0.0000
0.0000 4.0101 0.0000
0.0000 0.0000 8.1633
ATOMIC_POSITIONS angstrom
Tl 1.0025 1.0025 1.2875
Tl 3.0076 3.0076 6.8758
Cr 1.0025 3.0076 4.0816
Cr 3.0076 1.0025 4.0816
P 1.0025 1.0025 5.2568
P 3.0076 3.0076 2.9065
! Total magnetic moment: 0.737 μB/atom
! Polymorph energy (0 for the lowest one): 0 meV/atom
! Formation enthalpy at 0 K: -0.1519 eV per atom

---

# 12
! Sc2CuNi2, relaxed, DFT PBE; values from VASP
&SYSTEM
  ibrav = 0, nat = 5, ntyp = 3
/
ATOMIC_SPECIES
Sc 44.96 Sc.upf
Cu 63.55 Cu.upf
Ni 58.69 Ni.upf
CELL_PARAMETERS angstrom
-2.4251 2.4251 3.5802
2.4251 -2.4251 3.5802
2.4251 2.4251 -3.5802
ATOMIC_POSITIONS angstrom
Sc 2.4251 0.0000 1.7901
Sc 0.0000 2.4251 1.7901
Cu 0.0000 0.0000 0.0000
Ni 0.0000 0.0000 2.4542
Ni 0.0000 0.0000 4.7063
! Total magnetic moment: 0.000 μB/atom
! Formation enthalpy at 0 K: -0.1832 eV per atom

---

# 13
! KLiZnSe2, relaxed, DFT PBE; values from VASP
&SYSTEM
  ibrav = 0, nat = 10, ntyp = 4
/
ATOMIC_SPECIES
K 39.10 K.upf
Li 6.94 Li.upf
Zn 65.41 Zn.upf
Se 78.96 Se.upf
CELL_PARAMETERS angstrom
3.0094 -7.1517 0.0000
3.0094 7.1517 0.0000
0.0000 0.0000 6.0969
ATOMIC_POSITIONS angstrom
K 3.0094 3.5758 4.7010
K 3.0094 -3.5758 1.3959
Li 1.5047 0.0000 3.0485
Li 4.5142 0.0000 3.0485
Zn 0.0000 0.0000 0.0000
Zn 3.0094 0.0000 0.0000
Se 3.0094 5.5401 1.6194
Se 3.0094 1.6116 1.6194
Se 3.0094 -1.6116 4.4775
Se 3.0094 -5.5401 4.4775
! Total magnetic moment: 0.000 μB/atom
! Energy relative to the elements, uncorrected: -22.018 kcal/mol of atoms

---

# 14
! RbSeBr2Cl, relaxed, DFT PBE; values from VASP
&SYSTEM
  ibrav = 0, nat = 5, ntyp = 4
/
ATOMIC_SPECIES
Rb 85.47 Rb.upf
Se 78.96 Se.upf
Br 79.90 Br.upf
Cl 35.45 Cl.upf
CELL_PARAMETERS angstrom
6.5375 0.0000 0.0000
0.0000 6.5375 0.0000
0.0000 0.0000 7.2130
ATOMIC_POSITIONS angstrom
Rb 0.0000 0.0000 0.0000
Se 0.0000 0.0000 3.6065
Br 0.0000 3.2687 0.0000
Br 3.2687 0.0000 0.0000
Cl 3.2687 3.2687 3.6065
! Total magnetic moment: 0.803 μB/atom
! Polymorph energy (0 for the lowest one): 1035 meV/atom
! Energy relative to the elements, uncorrected: 6.704 kcal/mol of atoms

---

# 15
! Tl2AgIrF6, relaxed, DFT PBE; values from VASP
&SYSTEM
  ibrav = 0, nat = 20, ntyp = 4
/
ATOMIC_SPECIES
Tl 204.38 Tl.upf
Ag 107.87 Ag.upf
Ir 192.22 Ir.upf
F 19.00 F.upf
CELL_PARAMETERS angstrom
6.2277 0.0000 0.0000
0.0000 8.8942 0.0000
0.0000 0.0000 6.3665
ATOMIC_POSITIONS angstrom
Tl 1.5569 0.0641 1.5336
Tl 1.5569 4.3830 1.5336
Tl 4.6708 4.5112 4.8329
Tl 4.6708 8.8301 4.8329
Ag 1.5569 2.2236 4.6818
Ag 4.6708 6.6707 1.6847
Ir 1.5569 6.6707 4.8502
Ir 4.6708 2.2236 1.5163
F 0.0761 6.6707 6.2613
F 0.0812 6.6707 3.4380
F 1.5569 4.6271 4.8732
F 1.5569 8.7143 4.8732
F 3.0327 6.6707 3.4380
F 3.0378 6.6707 6.2613
F 3.1899 2.2236 0.1051
F 3.1950 2.2236 2.9285
F 4.6708 0.1799 1.4933
F 4.6708 4.2672 1.4933
F 6.1465 2.2236 2.9285
F 6.1516 2.2236 0.1051
! Total magnetic moment: 0.020 μB/atom
! Energy relative to the elements, uncorrected: -34.144 kcal/mol of atoms

---

# 16
! CdNiHg, relaxed, DFT PBE; values from VASP
&SYSTEM
  ibrav = 0, nat = 3, ntyp = 3
/
ATOMIC_SPECIES
Cd 112.41 Cd.upf
Ni 58.69 Ni.upf
Hg 200.59 Hg.upf
CELL_PARAMETERS angstrom
0.0000 3.1165 3.1165
3.1165 0.0000 3.1165
3.1165 3.1165 0.0000
ATOMIC_POSITIONS angstrom
Cd 0.0000 0.0000 0.0000
Ni 1.5582 1.5582 1.5582
Hg 3.1165 3.1165 3.1165
! Total magnetic moment: 0.000 μB/atom
! Polymorph energy (0 for the lowest one): 56 meV/atom
! Formation enthalpy at 0 K: 0.1587 eV per atom

---

# 17
! MnZn4Cu7, relaxed, DFT PBE; values from VASP
&SYSTEM
  ibrav = 0, nat = 12, ntyp = 3
/
ATOMIC_SPECIES
Mn 54.94 Mn.upf
Zn 65.41 Zn.upf
Cu 63.55 Cu.upf
CELL_PARAMETERS angstrom
4.6308 0.0000 0.0000
-0.0622 5.1760 0.0000
-2.0106 -1.1142 6.4457
ATOMIC_POSITIONS angstrom
Mn 0.0000 0.0000 0.0000
Zn -0.5840 1.4608 4.3513
Zn 0.8258 3.9204 2.1405
Zn 1.7322 0.1415 4.3052
Zn 3.1420 2.6011 2.0944
Cu -0.0311 2.5880 0.0000
Cu -0.6208 4.0250 4.3000
Cu 0.8409 1.3276 2.1474
Cu 2.2948 1.2831 0.0108
Cu 0.2632 2.7788 6.4349
Cu 1.7172 2.7343 4.2983
Cu 3.1788 0.0369 2.1457
! Total magnetic moment: 0.326 μB/atom
! Formation enthalpy at 0 K: -0.0303 eV per atom

---

# 18
! Mn2BeRh, relaxed, DFT PBE; values from VASP
&SYSTEM
  ibrav = 0, nat = 4, ntyp = 3
/
ATOMIC_SPECIES
Mn 54.94 Mn.upf
Be 9.01 Be.upf
Rh 102.91 Rh.upf
CELL_PARAMETERS angstrom
-1.3886 1.8976 4.0986
1.3886 -1.8976 4.0986
1.3886 1.8976 -4.0986
ATOMIC_POSITIONS angstrom
Mn 0.0000 0.0000 1.9510
Mn 0.0000 0.0000 6.2463
Be 1.3886 0.0000 0.0000
Rh 0.0000 1.8976 0.0000
! Total magnetic moment: 0.000 μB/atom
! Formation enthalpy at 0 K: -0.1500 eV per atom

---

# 19
! CaInBr2, relaxed, DFT PBE; values from VASP
&SYSTEM
  ibrav = 0, nat = 4, ntyp = 3
/
ATOMIC_SPECIES
Ca 40.08 Ca.upf
In 114.82 In.upf
Br 79.90 Br.upf
CELL_PARAMETERS angstrom
2.2674 1.3091 9.5432
-2.2674 1.3091 9.5432
0.0000 -2.6182 9.5432
ATOMIC_POSITIONS angstrom
Ca 0.0000 0.0000 0.0000
In 0.0000 0.0000 14.3147
Br 0.0000 0.0000 2.7630
Br 0.0000 0.0000 25.8664
! Total magnetic moment: 0.000 μB/atom
! Polymorph energy (0 for the lowest one): 417 meV/atom
! Energy relative to the elements, uncorrected: -19.872 kcal/mol of atoms

---

# 20
! P3SO, relaxed, DFT PBE; values from VASP
&SYSTEM
  ibrav = 0, nat = 5, ntyp = 3
/
ATOMIC_SPECIES
P 30.97 P.upf
S 32.06 S.upf
O 16.00 O.upf
CELL_PARAMETERS angstrom
4.2037 0.0000 0.0000
0.0000 4.2037 0.0000
0.0000 0.0000 4.2037
ATOMIC_POSITIONS angstrom
P 0.0000 0.0000 2.1019
P 0.0000 2.1019 0.0000
P 2.1019 0.0000 0.0000
S 2.1019 2.1019 2.1019
O 0.0000 0.0000 0.0000
! Total magnetic moment: 0.000 μB/atom
! Polymorph energy (0 for the lowest one): 0 meV/atom
! Energy relative to the elements, uncorrected: 21.990 kcal/mol of atoms